[1]
Entry from Alexandria: crystalline ZrCdAs at its relaxed geometry (PBE).

```
data_ZrCdAs
_space_group_name_H-M_alt 'C 1 2 1'
_space_group_IT_number 5
_space_group_name_Hall 'C 2y'
_cell_length_a 5.265
_cell_length_b 5.263
_cell_length_c 9.962
_cell_angle_alpha 90.00
_cell_angle_beta 105.20
_cell_angle_gamma 90.00
loop_
_atom_site_label
_atom_site_fract_x
_atom_site_fract_y
_atom_site_fract_z
_atom_site_occupancy
Zr1 0.196 0.000 0.390 1
Cd1 0.212 0.250 0.924 1
As1 0.159 0.500 0.317 1
```

Properties
Formation energy (eV per formula unit): -1.83
ΔE to the lowest computed polymorph (meV per atom): 3
N(E_F) (states/eV/f.u.): 1.26
Crystal system: monoclinic

[2]
Entry from Alexandria: crystalline CdIn2W at its relaxed geometry (PBE).

```
data_CdIn2W
_space_group_name_H-M_alt 'P 4 m m'
_space_group_IT_number 99
_space_group_name_Hall 'P 4 -2'
_cell_length_a 3.759
_cell_length_b 3.759
_cell_length_c 5.873
_cell_angle_alpha 90.00
_cell_angle_beta 90.00
_cell_angle_gamma 90.00
loop_
_atom_site_label
_atom_site_fract_x
_atom_site_fract_y
_atom_site_fract_z
_atom_site_occupancy
Cd1 0.000 0.000 0.000 1
In1 0.000 0.000 0.531 1
In2 0.500 0.500 0.245 1
W1 0.500 0.500 0.741 1
```

Properties
Formation energy (eV per formula unit): 2.46
N(E_F) (states/eV/f.u.): 3.37
Crystal system: tetragonal

[3]
Entry from Alexandria: crystalline Sc3ZnN at its relaxed geometry (PBE).

```
data_Sc3ZnN
_space_group_name_H-M_alt 'A m m 2'
_space_group_IT_number 38
_space_group_name_Hall 'A 2 -2'
_cell_length_a 3.102
_cell_length_b 6.193
_cell_length_c 14.163
_cell_angle_alpha 90.00
_cell_angle_beta 90.00
_cell_angle_gamma 90.00
loop_
_atom_site_label
_atom_site_fract_x
_atom_site_fract_y
_atom_site_fract_z
_atom_site_occupancy
Sc1 0.000 0.000 0.000 1
Sc2 0.500 0.237 0.834 1
Zn1 0.500 0.000 0.170 1
N1 0.000 0.000 0.842 1
```

Properties
Formation energy from raw total energies (eV/atom): -0.181
N(E_F) (states/eV/f.u.): 6.46
Crystal system: orthorhombic

[4]
Entry from Alexandria: crystalline Na2AgBi2Pd2 at its relaxed geometry (PBE).

```
data_Na2AgBi2Pd2
_space_group_name_H-M_alt 'I 4/m m m'
_space_group_IT_number 139
_space_group_name_Hall '-I 4 2'
_cell_length_a 5.081
_cell_length_b 5.081
_cell_length_c 15.275
_cell_angle_alpha 90.00
_cell_angle_beta 90.00
_cell_angle_gamma 90.00
loop_
_atom_site_label
_atom_site_fract_x
_atom_site_fract_y
_atom_site_fract_z
_atom_site_occupancy
Na1 0.000 0.000 0.180 1
Ag1 0.000 0.000 0.000 1
Bi1 0.000 0.000 0.399 1
Pd1 0.000 0.500 0.000 1
```

Properties
Formation energy (eV per formula unit): -0.54
N(E_F) (states/eV/f.u.): 2.58
Crystal system: tetragonal

[5]
Entry from Alexandria: crystalline HfTlAs3 at its relaxed geometry (PBE).

```
data_HfTlAs3
_space_group_name_H-M_alt 'P m -3 m'
_space_group_IT_number 221
_space_group_name_Hall '-P 4 2 3'
_cell_length_a 5.206
_cell_length_b 5.206
_cell_length_c 5.206
_cell_angle_alpha 90.00
_cell_angle_beta 90.00
_cell_angle_gamma 90.00
loop_
_atom_site_label
_atom_site_fract_x
_atom_site_fract_y
_atom_site_fract_z
_atom_site_occupancy
Hf1 0.000 0.000 0.000 1
Tl1 0.500 0.500 0.500 1
As1 0.000 0.000 0.500 1
```

Properties
Formation energy (eV per formula unit): 0.06
ΔE to the lowest computed polymorph (meV per atom): 0
N(E_F) (states/eV/f.u.): 5.36
Crystal system: cubic

[6]
Entry from Alexandria: crystalline TbScInOs at its relaxed geometry (PBE).

```
data_TbScInOs
_space_group_name_H-M_alt 'F -4 3 m'
_space_group_IT_number 216
_space_group_name_Hall 'F -4 2 3'
_cell_length_a 6.955
_cell_length_b 6.955
_cell_length_c 6.955
_cell_angle_alpha 90.00
_cell_angle_beta 90.00
_cell_angle_gamma 90.00
loop_
_atom_site_label
_atom_site_fract_x
_atom_site_fract_y
_atom_site_fract_z
_atom_site_occupancy
Tb1 0.000 0.000 0.000 1
Sc1 0.000 0.000 0.500 1
In1 0.250 0.250 0.750 1
Os1 0.250 0.250 0.250 1
```

Properties
Formation energy (eV per formula unit): -1.04
ΔE to the lowest computed polymorph (meV per atom): 158
N(E_F) (states/eV/f.u.): 2.88
Crystal system: cubic

[7]
Entry from Alexandria: crystalline CdCuIr at its relaxed geometry (PBE).

```
data_CdCuIr
_space_group_name_H-M_alt 'F -4 3 m'
_space_group_IT_number 216
_space_group_name_Hall 'F -4 2 3'
_cell_length_a 5.935
_cell_length_b 5.935
_cell_length_c 5.935
_cell_angle_alpha 90.00
_cell_angle_beta 90.00
_cell_angle_gamma 90.00
loop_
_atom_site_label
_atom_site_fract_x
_atom_site_fract_y
_atom_site_fract_z
_atom_site_occupancy
Cd1 0.000 0.000 0.000 1
Cu1 0.250 0.250 0.250 1
Ir1 0.000 0.000 0.500 1
```

Properties
Formation energy (eV per formula unit): 1.43
ΔE to the lowest computed polymorph (meV per atom): 286
N(E_F) (states/eV/f.u.): 1.58
Crystal system: cubic

[8]
Entry from Alexandria: crystalline RbCoSb2 at its relaxed geometry (PBE).

```
data_RbCoSb2
_space_group_name_H-M_alt 'P 4/m m m'
_space_group_IT_number 123
_space_group_name_Hall '-P 4 2'
_cell_length_a 3.287
_cell_length_b 3.287
_cell_length_c 8.944
_cell_angle_alpha 90.00
_cell_angle_beta 90.00
_cell_angle_gamma 90.00
loop_
_atom_site_label
_atom_site_fract_x
_atom_site_fract_y
_atom_site_fract_z
_atom_site_occupancy
Rb1 0.000 0.000 0.000 1
Co1 0.000 0.000 0.500 1
Sb1 0.500 0.500 0.328 1
```

Properties
Formation energy from raw total energies (eV/atom): 0.025
ΔE to the lowest computed polymorph (meV per atom): 183
N(E_F) (states/eV/f.u.): 1.43
Crystal system: tetragonal

| no. | raw total energy (eV per formula unit) | total magnetic moment (Bohr magnetons per cell) |
| --- | --- | --- |
| 1 | -15.94 | 0.000 |
| 2 | -16.88 | 0.003 |
| 3 | -29.50 | 2.467 |
| 4 | -24.18 | 0.000 |
| 5 | -26.21 | 0.000 |
| 6 | -25.97 | 0.000 |
| 7 | -12.45 | 0.000 |
| 8 | -16.22 | 0.000 |